# HfIrSeN2 (PBE-GGA, optimized geometry)
# SG = P4/mmm, No. 123
# Spin magnetization = 0.000 μB per atom
# Fermi-level density of states = 0.92 states/eV/atom
# E = -35.465 eV/cell
# ΔE to the lowest computed polymorph = 0.0 kJ/mol of formula units
data_HfIrSeN2
_cell_length_a 3.850
_cell_length_b 3.850
_cell_length_c 5.257
_cell_angle_alpha 90.00
_cell_angle_beta 90.00
_cell_angle_gamma 90.00
_symmetry_space_group_name_H-M 'P 1'
_symmetry_Int_Tables_number 1
loop_
_symmetry_equiv_pos_as_xyz
'x,y,z'
loop_
_atom_site_label
_atom_site_type_symbol
_atom_site_fract_x
_atom_site_fract_y
_atom_site_fract_z
_atom_site_occupancy
Hf1 Hf 0.000 0.000 0.000 1
Ir1 Ir 0.500 0.500 0.500 1
Se1 Se 0.500 0.500 0.000 1
N1 N 0.000 0.500 0.500 1
N2 N 0.500 0.000 0.500 1